No. 1
The following is a PBE calculation of crystalline MoSe3Cl at its relaxed geometry, from Alexandria via LeMat-Bulk.

Summary:
Offset from the most stable computed form ... 0 meV/atom
Volume ... 23.80 A^3/atom
E_form (uncorrected) ... 13 kJ per mole of atoms
Spin magnetization ... 0.0 μB per cell

abc: 4.919 4.919 4.919
angles: 90.00 90.00 90.00
Fractional positions:
Mo 0.000 0.000 0.000
Se 0.000 0.000 0.500
Se 0.000 0.500 0.000
Se 0.500 0.000 0.000
Cl 0.500 0.500 0.500

No. 2
The following is a PBE calculation of crystalline MoSe2Cl at its relaxed geometry, from Alexandria via LeMat-Bulk.

Summary:
Offset from the most stable computed form ... 866 meV/atom
Volume ... 20.81 A^3/atom
E_form (uncorrected) ... 45 kJ per mole of atoms
Spin magnetization ... 2.6 μB per cell

abc: 4.872 4.872 3.944
angles: 90.27 90.27 117.20
Fractional positions:
Mo 0.000 0.000 0.000
Se 0.000 0.500 0.500
Se 0.500 0.000 0.500
Cl 0.500 0.500 0.000

No. 3
The following is a PBE calculation of crystalline MoSe2Cl at its relaxed geometry, from Alexandria via LeMat-Bulk.

Summary:
Offset from the most stable computed form ... 758 meV/atom
Volume ... 18.85 A^3/atom
E_form (uncorrected) ... 35 kJ per mole of atoms
Spin magnetization ... 0.5 μB per cell

abc: 2.991 4.741 5.318
angles: 90.00 90.13 90.00
Fractional positions:
Mo 0.000 0.000 0.000
Se 0.002 0.500 0.766
Se 0.998 0.500 0.234
Cl 0.500 0.000 0.500

No. 4
The following is a PBE calculation of crystalline MoSeCl3 at its relaxed geometry, from Alexandria via LeMat-Bulk.

Summary:
Offset from the most stable computed form ... 1441 meV/atom
Volume ... 27.04 A^3/atom
E_form (uncorrected) ... 68 kJ per mole of atoms
Spin magnetization ... 4.9 μB per cell

abc: 5.132 5.132 5.132
angles: 90.00 90.00 90.00
Fractional positions:
Mo 0.000 0.000 0.000
Se 0.500 0.500 0.500
Cl 0.000 0.500 0.500
Cl 0.500 0.000 0.500
Cl 0.500 0.500 0.000

No. 5
The following is a PBE calculation of crystalline MoSe2Cl at its relaxed geometry, from Alexandria via LeMat-Bulk.

Summary:
Offset from the most stable computed form ... 872 meV/atom
Volume ... 21.53 A^3/atom
E_form (uncorrected) ... 46 kJ per mole of atoms
Spin magnetization ... 0.0 μB per cell

abc: 12.420 12.420 12.420
angles: 13.14 13.14 13.14
Fractional positions:
Mo 0.000 0.000 0.000
Se 0.070 0.070 0.070
Se 0.930 0.930 0.930
Cl 0.500 0.500 0.500

No. 6
The following is a PBE calculation of crystalline MoSe2Cl at its relaxed geometry, from Alexandria via LeMat-Bulk.

Summary:
Offset from the most stable computed form ... 413 meV/atom
Volume ... 23.13 A^3/atom
E_form (uncorrected) ... 2 kJ per mole of atoms
Spin magnetization ... 0.7 μB per cell

abc: 6.718 6.718 6.718
angles: 153.77 136.08 51.87
Fractional positions:
Mo 0.000 0.000 0.000
Se 0.166 0.666 0.500
Se 0.834 0.334 0.500
Cl 0.500 0.500 0.000

No. 7
The following is a PBE calculation of crystalline MoSe2Cl at its relaxed geometry, from Alexandria via LeMat-Bulk.

Summary:
Offset from the most stable computed form ... 0 meV/atom
Volume ... 32.49 A^3/atom
E_form (uncorrected) ... -38 kJ per mole of atoms
Spin magnetization ... 0.0 μB per cell

abc: 6.586 3.240 6.665
angles: 90.00 113.98 90.00
Fractional positions:
Mo 0.000 0.000 0.000
Se 0.241 0.500 0.925
Se 0.685 0.000 0.692
Cl 0.944 0.500 0.257

No. 8
The following is a PBE calculation of crystalline MoSe2Cl12 at its relaxed geometry, from Alexandria via LeMat-Bulk.

Summary:
Volume ... 30.96 A^3/atom
E_form (uncorrected) ... -49 kJ per mole of atoms
Spin magnetization ... 4.0 μB per cell

abc: 12.871 12.735 9.177
angles: 69.79 68.21 42.00
Fractional positions:
Mo 0.000 0.000 0.000
Mo 0.250 0.250 0.250
Se 0.182 0.651 0.350
Se 0.432 0.900 0.599
Se 0.651 0.182 0.818
Se 0.900 0.432 0.068
Cl 0.043 0.105 0.111
Cl 0.062 0.621 0.583
Cl 0.105 0.043 0.741
Cl 0.139 0.509 0.207
Cl 0.208 0.773 0.430
Cl 0.210 0.283 0.994
Cl 0.256 0.737 0.040
Cl 0.283 0.210 0.513
Cl 0.352 0.990 0.303
Cl 0.416 0.427 0.802
Cl 0.427 0.416 0.354
Cl 0.448 0.896 0.834
Cl 0.509 0.139 0.145
Cl 0.516 0.667 0.629
Cl 0.621 0.062 0.734
Cl 0.661 0.820 0.477
Cl 0.667 0.516 0.188
Cl 0.737 0.256 0.967
Cl 0.773 0.208 0.589
Cl 0.820 0.661 0.042
Cl 0.896 0.448 0.823
Cl 0.896 0.947 0.260
Cl 0.947 0.896 0.898
Cl 0.990 0.352 0.354